# 1
First-principles (meta-GGA SCAN) data for a crystal of Zn2PPb relaxed with PBEsol, as listed in Alexandria.

Computed properties:
energy of formation	456	meV/atom
final energy	-27.85	eV/atom

Geometry as CIF:
```
data_Zn2PPb
_chemical_formula_sum 'Zn2 P1 Pb1'
_cell_length_a 4.221
_cell_length_b 4.221
_cell_length_c 4.298
_cell_angle_alpha 90.00
_cell_angle_beta 90.00
_cell_angle_gamma 90.00
_space_group_name_H-M_alt 'P 4/m m m'
_space_group_IT_number 123
_space_group_name_Hall '-P 4 2'
loop_
_atom_site_label
_atom_site_type_symbol
_atom_site_fract_x
_atom_site_fract_y
_atom_site_fract_z
Zn1 Zn 0.000 0.500 0.000
P1 P 0.000 0.000 0.500
Pb1 Pb 0.500 0.500 0.500
```

---

# 2
First-principles (meta-GGA SCAN) data for a crystal of ZnP6Pb relaxed with PBEsol, as listed in Alexandria.

Computed properties:
energy of formation	437	meV/atom
final energy	-18.52	eV/atom

Geometry as CIF:
```
data_ZnP6Pb
_chemical_formula_sum 'Zn3 P18 Pb3'
_cell_length_a 7.4704
_cell_length_b 7.4704
_cell_length_c 9.5269
_cell_angle_alpha 90.00
_cell_angle_beta 90.00
_cell_angle_gamma 120.00
_space_group_name_H-M_alt 'R -3'
_space_group_IT_number 148
_space_group_name_Hall '-R 3'
loop_
_atom_site_label
_atom_site_type_symbol
_atom_site_fract_x
_atom_site_fract_y
_atom_site_fract_z
Zn1 Zn 0.0000 0.0000 0.0000
P1 P 0.0196 0.4439 0.3998
Pb1 Pb 0.0000 0.0000 0.5000
```

---

# 3
First-principles (meta-GGA SCAN) data for a crystal of ZnP2Pb relaxed with PBEsol, as listed in Alexandria.

Computed properties:
energy of formation	414	meV/atom
final energy	-27.11	eV/atom

Geometry as CIF:
```
data_ZnP2Pb
_chemical_formula_sum 'Zn2 P4 Pb2'
_cell_length_a 5.379
_cell_length_b 7.600
_cell_length_c 4.645
_cell_angle_alpha 90.00
_cell_angle_beta 125.10
_cell_angle_gamma 90.00
_space_group_name_H-M_alt 'C 1 2/m 1'
_space_group_IT_number 12
loop_
_space_group_symop_operation_xyz
'x,y,z'
'-x,-y,-z'
'-x,y,-z'
'x,-y,z'
'x+1/2,y+1/2,z'
'-x+1/2,-y+1/2,-z'
'-x+1/2,y+1/2,-z'
'x+1/2,-y+1/2,z'
loop_
_atom_site_label
_atom_site_type_symbol
_atom_site_fract_x
_atom_site_fract_y
_atom_site_fract_z
Zn1 Zn 0.000 0.000 0.000
P1 P 0.250 0.250 0.500
Pb1 Pb 0.000 0.500 0.000
```

---

# 4
First-principles (meta-GGA SCAN) data for a crystal of Zn2PPb relaxed with PBEsol, as listed in Alexandria.

Computed properties:
energy of formation	352	meV/atom
final energy	-27.95	eV/atom

Geometry as CIF:
```
data_Zn2PPb
_chemical_formula_sum 'Zn2 P1 Pb1'
_cell_length_a 4.198
_cell_length_b 3.729
_cell_length_c 5.160
_cell_angle_alpha 90.00
_cell_angle_beta 108.59
_cell_angle_gamma 90.00
_space_group_name_H-M_alt 'P 1 2/m 1'
_space_group_IT_number 10
loop_
_space_group_symop_operation_xyz
'x,y,z'
'-x,-y,-z'
'-x,y,-z'
'x,-y,z'
loop_
_atom_site_label
_atom_site_type_symbol
_atom_site_fract_x
_atom_site_fract_y
_atom_site_fract_z
Zn1 Zn 0.000 0.000 0.000
Zn2 Zn 0.000 0.500 0.500
P1 P 0.500 0.000 0.500
Pb1 Pb 0.500 0.500 0.000
```

---

# 5
First-principles (meta-GGA SCAN) data for a crystal of Zn2PPb relaxed with PBEsol, as listed in Alexandria.

Computed properties:
energy of formation	451	meV/atom
final energy	-27.85	eV/atom

Geometry as CIF:
```
data_Zn2PPb
_chemical_formula_sum 'Zn4 P2 Pb2'
_cell_length_a 5.772
_cell_length_b 7.145
_cell_length_c 3.681
_cell_angle_alpha 90.00
_cell_angle_beta 90.00
_cell_angle_gamma 90.00
_space_group_name_H-M_alt 'C m m m'
_space_group_IT_number 65
_space_group_name_Hall '-C 2 2'
loop_
_atom_site_label
_atom_site_type_symbol
_atom_site_fract_x
_atom_site_fract_y
_atom_site_fract_z
Zn1 Zn 0.250 0.250 0.000
P1 P 0.000 0.000 0.500
Pb1 Pb 0.000 0.500 0.500
```

---

# 6
First-principles (meta-GGA SCAN) data for a crystal of ZrP2Pb relaxed with PBEsol, as listed in Alexandria.

Computed properties:
energy of formation	-495	meV/atom
final energy	-32.31	eV/atom

Geometry as CIF:
```
data_ZrP2Pb
_chemical_formula_sum 'Zr2 P4 Pb2'
_cell_length_a 3.482
_cell_length_b 3.673
_cell_length_c 13.422
_cell_angle_alpha 90.00
_cell_angle_beta 90.00
_cell_angle_gamma 90.00
_space_group_name_H-M_alt 'I m m 2'
_space_group_IT_number 44
loop_
_space_group_symop_operation_xyz
'x,y,z'
'-x,-y,z'
'-x,y,z'
'x,-y,z'
'x+1/2,y+1/2,z+1/2'
'-x+1/2,-y+1/2,z+1/2'
'-x+1/2,y+1/2,z+1/2'
'x+1/2,-y+1/2,z+1/2'
loop_
_atom_site_label
_atom_site_type_symbol
_atom_site_fract_x
_atom_site_fract_y
_atom_site_fract_z
Zr1 Zr 0.000 0.000 0.000
P1 P 0.000 0.000 0.442
P2 P 0.000 0.500 0.645
Pb1 Pb 0.000 0.500 0.249
```

---

# 7
First-principles (meta-GGA SCAN) data for a crystal of Zr2PPb relaxed with PBEsol, as listed in Alexandria.

Computed properties:
energy of formation	-604	meV/atom
distance to the lowest polymorph of the same formula	340	meV/atom
final energy	-37.50	eV/atom

Geometry as CIF:
```
data_Zr2PPb
_chemical_formula_sum 'Zr4 P2 Pb2'
_cell_length_a 4.934
_cell_length_b 3.446
_cell_length_c 10.365
_cell_angle_alpha 90.00
_cell_angle_beta 90.00
_cell_angle_gamma 90.00
_space_group_name_H-M_alt 'A m m 2'
_space_group_IT_number 38
loop_
_space_group_symop_operation_xyz
'x,y,z'
'-x,-y,z'
'-x,y,z'
'x,-y,z'
'x,y+1/2,z+1/2'
'-x,-y+1/2,z+1/2'
'-x,y+1/2,z+1/2'
'x,-y+1/2,z+1/2'
loop_
_atom_site_label
_atom_site_type_symbol
_atom_site_fract_x
_atom_site_fract_y
_atom_site_fract_z
Zr1 Zr 0.000 0.000 0.000
Zr2 Zr 0.500 0.000 0.325
P1 P 0.000 0.000 0.305
Pb1 Pb 0.500 0.000 0.597
```

---

# 8
First-principles (meta-GGA SCAN) data for a crystal of Zr5PPb3 relaxed with PBEsol, as listed in Alexandria.

Computed properties:
energy of formation	-806	meV/atom
final energy	-44.28	eV/atom

Geometry as CIF:
```
data_Zr5PPb3
_chemical_formula_sum 'Zr10 P2 Pb6'
_cell_length_a 8.6063
_cell_length_b 8.6063
_cell_length_c 5.9301
_cell_angle_alpha 90.00
_cell_angle_beta 90.00
_cell_angle_gamma 120.00
_space_group_name_H-M_alt 'P 63/m c m'
_space_group_IT_number 193
_space_group_name_Hall '-P 6c 2'
loop_
_atom_site_label
_atom_site_type_symbol
_atom_site_fract_x
_atom_site_fract_y
_atom_site_fract_z
Zr1 Zr 0.0000 0.2478 0.2500
Zr2 Zr 0.3333 0.6667 0.0000
P1 P 0.0000 0.0000 0.0000
Pb1 Pb 0.0000 0.3982 0.7500
```

---

# 9
First-principles (meta-GGA SCAN) data for a crystal of Zr2PPb relaxed with PBEsol, as listed in Alexandria.

Computed properties:
energy of formation	-944	meV/atom
distance to the lowest polymorph of the same formula	0	meV/atom
final energy	-37.84	eV/atom

Geometry as CIF:
```
data_Zr2PPb
_chemical_formula_sum 'Zr6 P3 Pb3'
_cell_length_a 3.6329
_cell_length_b 3.6329
_cell_length_c 22.3942
_cell_angle_alpha 90.00
_cell_angle_beta 90.00
_cell_angle_gamma 120.00
_space_group_name_H-M_alt 'R -3 m'
_space_group_IT_number 166
_space_group_name_Hall '-R 3 2"'
loop_
_atom_site_label
_atom_site_type_symbol
_atom_site_fract_x
_atom_site_fract_y
_atom_site_fract_z
Zr1 Zr 0.0000 0.0000 0.2295
P1 P 0.0000 0.0000 0.5000
Pb1 Pb 0.0000 0.0000 0.0000
```

---

# 10
First-principles (meta-GGA SCAN) data for a crystal of PPd3 relaxed with PBEsol, as listed in Alexandria.

Computed properties:
energy of formation	-524	meV/atom
final energy	-27.70	eV/atom

Geometry as CIF:
```
data_PPd3
_chemical_formula_sum 'P4 Pd12'
_cell_length_a 6.015
_cell_length_b 7.374
_cell_length_c 5.129
_cell_angle_alpha 90.00
_cell_angle_beta 90.00
_cell_angle_gamma 90.00
_space_group_name_H-M_alt 'P n m a'
_space_group_IT_number 62
loop_
_space_group_symop_operation_xyz
'x,y,z'
'-x,-y,-z'
'-x+1/2,-y,z+1/2'
'x+1/2,y,-z+1/2'
'x+1/2,-y+1/2,-z+1/2'
'-x+1/2,y+1/2,z+1/2'
'-x,y+1/2,-z'
'x,-y+1/2,z'
loop_
_atom_site_label
_atom_site_type_symbol
_atom_site_fract_x
_atom_site_fract_y
_atom_site_fract_z
P1 P 0.119 0.250 0.042
Pd1 Pd 0.026 0.750 0.374
Pd2 Pd 0.175 0.562 0.839
```

---

# 11
First-principles (meta-GGA SCAN) data for a crystal of P2Pd relaxed with PBEsol, as listed in Alexandria.

Computed properties:
energy of formation	-511	meV/atom
final energy	-18.37	eV/atom

Geometry as CIF:
```
data_P2Pd
_chemical_formula_sum 'P8 Pd4'
_cell_length_a 6.767
_cell_length_b 5.844
_cell_length_c 5.852
_cell_angle_alpha 90.00
_cell_angle_beta 122.06
_cell_angle_gamma 90.00
_space_group_name_H-M_alt 'C 1 2/c 1'
_space_group_IT_number 15
loop_
_space_group_symop_operation_xyz
'x,y,z'
'-x,-y,-z'
'-x,y,-z+1/2'
'x,-y,z+1/2'
'x+1/2,y+1/2,z'
'-x+1/2,-y+1/2,-z'
'-x+1/2,y+1/2,-z+1/2'
'x+1/2,-y+1/2,z+1/2'
loop_
_atom_site_label
_atom_site_type_symbol
_atom_site_fract_x
_atom_site_fract_y
_atom_site_fract_z
P1 P 0.190 0.122 0.335
Pd1 Pd 0.250 0.250 0.000
```

---

# 12
First-principles (meta-GGA SCAN) data for a crystal of PPd3Pt relaxed with PBEsol, as listed in Alexandria.

Computed properties:
energy of formation	182	meV/atom
final energy	-35.60	eV/atom

Geometry as CIF:
```
data_PPd3Pt
_chemical_formula_sum 'P1 Pd3 Pt1'
_cell_length_a 4.352
_cell_length_b 4.352
_cell_length_c 4.352
_cell_angle_alpha 90.00
_cell_angle_beta 90.00
_cell_angle_gamma 90.00
_space_group_name_H-M_alt 'P m -3 m'
_space_group_IT_number 221
_space_group_name_Hall '-P 4 2 3'
loop_
_atom_site_label
_atom_site_type_symbol
_atom_site_fract_x
_atom_site_fract_y
_atom_site_fract_z
P1 P 0.000 0.000 0.000
Pd1 Pd 0.000 0.000 0.500
Pt1 Pt 0.500 0.500 0.500
```

---

# 13
First-principles (meta-GGA SCAN) data for a crystal of P2PdPt relaxed with PBEsol, as listed in Alexandria.

Computed properties:
energy of formation	-305	meV/atom
final energy	-31.25	eV/atom

Geometry as CIF:
```
data_P2PdPt
_chemical_formula_sum 'P8 Pd4 Pt4'
_cell_length_a 5.398
_cell_length_b 5.398
_cell_length_c 10.206
_cell_angle_alpha 90.00
_cell_angle_beta 90.00
_cell_angle_gamma 90.00
_space_group_name_H-M_alt 'I -4 2 d'
_space_group_IT_number 122
_space_group_name_Hall 'I -4 2bw'
loop_
_atom_site_label
_atom_site_type_symbol
_atom_site_fract_x
_atom_site_fract_y
_atom_site_fract_z
P1 P 0.246 0.250 0.125
Pd1 Pd 0.000 0.000 0.500
Pt1 Pt 0.000 0.000 0.000
```